5
Lattice="-0.391 -3.206 -2.002 2.325 -1.791 2.414 -3.965 -1.299 2.855" Properties=species:S:1:pos:R:3 comment="PWO2F, relaxed, DFT PBE+U" dos_ef_per_ev_cell=1.441 crystal_system=tetragonal mass_density_g_cm3=6.0 final_energy_ev_per_atom=-5.871 vol_a3_per_atom=14.605 pbc="T T T"
P -1.983 -0.650 1.428
O -0.195 -1.603 -1.001
W 0.000 0.000 0.000
F -1.015 -3.148 1.634
O 1.163 -0.895 1.207